No. 1
K8Na6Sr | GGA-PBE | relaxed

Properties
Its space group is R-3, No. 148. The value obtained for the formation enthalpy at 0 K is 69 meV per atom. Its uncorrected energy is -1.16 eV/atom.

Cell lengths 10.484, 10.484, 10.484 Å; angles 65.34, 65.34, 65.34 degrees
Sites, in units of the cell vectors:
K (0.064, 0.703, 0.375)
K (0.170, 0.170, 0.170)
K (0.297, 0.625, 0.936)
K (0.375, 0.064, 0.703)
K (0.625, 0.936, 0.297)
K (0.703, 0.375, 0.064)
K (0.830, 0.830, 0.830)
K (0.936, 0.297, 0.625)
Na (0.126, 0.458, 0.789)
Na (0.211, 0.874, 0.542)
Na (0.458, 0.789, 0.126)
Na (0.542, 0.211, 0.874)
Na (0.789, 0.126, 0.458)
Na (0.874, 0.542, 0.211)
Sr (0.500, 0.500, 0.500)

=====

No. 2
Tb2Y5Mg | GGA-PBE | relaxed

Properties
Its space group is Cm, No. 8. The value obtained for the formation enthalpy at 0 K is -1 meV per atom. The value obtained for the energy above the most stable polymorph in this dataset is 0 meV/atom. Its uncorrected energy is -5.40 eV/atom.

Cell lengths 6.691, 6.691, 8.374 Å; angles 124.66, 124.66, 64.62 degrees
Sites, in units of the cell vectors:
Tb (0.000, 0.000, 0.000)
Tb (0.095, 0.095, 0.680)
Y (0.087, 0.588, 0.176)
Y (0.513, 0.997, 0.514)
Y (0.581, 0.581, 0.680)
Y (0.588, 0.087, 0.176)
Y (0.997, 0.513, 0.514)
Mg (0.506, 0.506, 0.014)

=====

No. 3
CaScRh | GGA-PBE | relaxed

Properties
Its space group is I4mm, No. 107. The value obtained for the formation enthalpy at 0 K is -498 meV per atom. The value obtained for the energy above the most stable polymorph in this dataset is 109 meV/atom. Its uncorrected energy is -5.73 eV/atom.

Cell lengths 6.754, 6.754, 6.754 Å; angles 151.57, 151.57, 40.64 degrees
Sites, in units of the cell vectors:
Ca (0.000, 0.000, 0.000)
Sc (0.738, 0.738, 0.000)
Rh (0.344, 0.344, 0.000)

=====

No. 4
NaSrY2Ru | GGA-PBE | relaxed

Properties
Its space group is P4/mmm, No. 123. The value obtained for the formation enthalpy at 0 K is 38 meV per atom. Its uncorrected energy is -5.00 eV/atom.

Cell lengths 5.385, 5.385, 6.078 Å; angles 90.00, 90.00, 90.00 degrees
Sites, in units of the cell vectors:
Na (0.000, 0.000, 0.000)
Sr (0.500, 0.500, 0.000)
Y (0.000, 0.500, 0.500)
Y (0.500, 0.000, 0.500)
Ru (0.500, 0.500, 0.500)

=====

No. 5
In2SbSe | GGA-PBE | relaxed

Properties
Its space group is Imm2, No. 44. The value obtained for the energy above the most stable polymorph in this dataset is 216 meV/atom. As for the uncorrected formation energy: -0.11 eV/f.u. Its uncorrected energy is -3.30 eV/atom.

Cell lengths 6.163, 6.163, 6.163 Å; angles 145.33, 125.35, 66.36 degrees
Sites, in units of the cell vectors:
In (0.000, 0.000, 0.000)
In (0.728, 0.228, 0.500)
Sb (0.278, 0.778, 0.500)
Se (0.492, 0.492, 0.000)

=====

No. 6
YErTm3 | GGA-PBE | relaxed

Properties
Its space group is P-1, No. 2. The value obtained for the formation enthalpy at 0 K is -1 meV per atom. The value obtained for the energy above the most stable polymorph in this dataset is 0 meV/atom. Its uncorrected energy is -4.89 eV/atom.

Cell lengths 6.201, 6.617, 9.075 Å; angles 107.61, 90.02, 117.89 degrees
Sites, in units of the cell vectors:
Y (0.033, 0.398, 0.151)
Y (0.967, 0.602, 0.849)
Er (0.365, 0.399, 0.649)
Er (0.635, 0.601, 0.351)
Tm (0.169, 0.001, 0.251)
Tm (0.234, 0.801, 0.549)
Tm (0.433, 0.200, 0.949)
Tm (0.567, 0.800, 0.051)
Tm (0.766, 0.199, 0.451)
Tm (0.831, 0.999, 0.749)

=====

No. 7
PmLuInRh | GGA-PBE | relaxed

Properties
Its space group is F-43m, No. 216. The value obtained for the formation enthalpy at 0 K is -524 meV per atom. Its uncorrected energy is -5.36 eV/atom.

Cell lengths 5.114, 5.114, 5.114 Å; angles 60.00, 60.00, 60.00 degrees
Sites, in units of the cell vectors:
Pm (0.000, 0.000, 0.000)
Lu (0.500, 0.500, 0.500)
In (0.250, 0.250, 0.250)
Rh (0.750, 0.750, 0.750)

=====

No. 8
Ta2ReW | GGA-PBE | relaxed

Properties
Its space group is Pmmm, No. 47. The value obtained for the formation enthalpy at 0 K is -189 meV per atom. Its uncorrected energy is -12.47 eV/atom.

Cell lengths 3.211, 4.529, 4.585 Å; angles 90.00, 90.00, 90.00 degrees
Sites, in units of the cell vectors:
Ta (0.000, 0.000, 0.000)
Ta (0.500, 0.000, 0.500)
Re (0.000, 0.500, 0.500)
W (0.500, 0.500, 0.000)

=====

The evaluated magnetic moment for the records listed, in turn: 0.000 0.000 0.000 0.000 0.000 0.000 0.000 0.000 μB/atom.